A plane-wave DFT calculation with GGA-PBE was carried out for a geometry-optimized PrDy9In2 structure.

Values from the calculation:
Magnetization, μB/atom: 0.000
Space-group type: P4/mmm (123)
E, eV/cell: -53.582

The structure in POSCAR format:
```
PrDy9In2
1.0
-1.0991 -1.8564 4.3765
4.6912 0.3034 1.3068
-2.3703 13.8706 5.2882
Pr Dy In
1 9 2
direct
0.0000 0.0000 0.0000 Pr
0.5000 0.5000 0.0000 Dy
0.5000 0.5000 0.3394 Dy
0.5000 0.5000 0.6606 Dy
0.5000 0.0000 0.1756 Dy
0.5000 0.0000 0.5000 Dy
0.5000 0.0000 0.8244 Dy
0.0000 0.5000 0.1756 Dy
0.0000 0.5000 0.5000 Dy
0.0000 0.5000 0.8244 Dy
0.0000 0.0000 0.3396 In
0.0000 0.0000 0.6604 In
```